VASP calculation (PBE) on crystalline Mg2ZrTc at its relaxed geometry.

Values from the calculation:
As for the offset from the most stable computed form: 114.7 meV/atom.

a b c (Å): 6.6720 6.6720 6.6720
angles (deg): 90.00 90.00 90.00
Space group F-43m (No. 216)
Symmetry-distinct sites (fractional):
Mg  0.0000  0.0000  0.0000 x4
Mg  0.2500  0.2500  0.2500 x4
Zr  0.2500  0.2500  0.7500 x4
Tc  0.0000  0.0000  0.5000 x4

=====

VASP calculation (PBE) on crystalline TmMgTlTe3 at its relaxed geometry.

Values from the calculation:
The total energy comes out at -0.14362 hartree per atom.

a b c (Å): 15.5600 4.4478 11.8759
angles (deg): 90.00 90.00 90.00
Space group Pnma (No. 62)
Symmetry-distinct sites (fractional):
Tm  0.0247  0.2500  0.1522 x4
Mg  0.0194  0.7500  0.3997 x4
Tl  0.2385  0.2500  0.4506 x4
Te  0.0900  0.7500  0.6220 x4
Te  0.0997  0.2500  0.9200 x4
Te  0.1460  0.7500  0.2361 x4

=====

VASP calculation (PBE) on crystalline TmMgTlTe3 at its relaxed geometry.

Values from the calculation:
The total energy comes out at -0.14357 hartree per atom.

a b c (Å): 4.4201 15.4382 11.6327
angles (deg): 90.00 90.00 90.00
Space group Cmcm (No. 63)
Symmetry-distinct sites (fractional):
Tm  0.0000  0.0000  0.0000 x4
Mg  0.0000  0.4620  0.2500 x4
Tl  0.0000  0.2443  0.7500 x4
Te  0.0000  0.0741  0.2500 x4
Te  0.0000  0.3655  0.0500 x8

=====

VASP calculation (PBE) on crystalline MgUTe at its relaxed geometry.

Values from the calculation:
As for the offset from the most stable computed form: 0.0 meV/atom.

a b c (Å): 7.0705 7.0705 7.0705
angles (deg): 90.00 90.00 90.00
Space group F-43m (No. 216)
Symmetry-distinct sites (fractional):
Mg  0.0000  0.0000  0.0000 x4
U  0.0000  0.0000  0.5000 x4
Te  0.2500  0.2500  0.2500 x4

=====

VASP calculation (PBE) on crystalline MgUTe at its relaxed geometry.

Values from the calculation:
As for the offset from the most stable computed form: 28.9 meV/atom.

a b c (Å): 7.2819 7.2819 7.2819
angles (deg): 90.00 90.00 90.00
Space group F-43m (No. 216)
Symmetry-distinct sites (fractional):
Mg  0.0000  0.0000  0.0000 x4
U  0.2500  0.2500  0.2500 x4
Te  0.0000  0.0000  0.5000 x4

=====

VASP calculation (PBE) on crystalline MgZrTe4 at its relaxed geometry.

Values from the calculation:
The total energy comes out at -0.15990 hartree per atom.

a b c (Å): 4.0169 16.5734 11.5304
angles (deg): 90.00 90.00 90.00
Space group Cmc2_1 (No. 36)
Symmetry-distinct sites (fractional):
Mg  0.0000  0.2208  0.0000 x4
Zr  0.0000  0.3455  0.7637 x4
Te  0.0000  0.0263  0.2778 x4
Te  0.0000  0.1240  0.4751 x4
Te  0.0000  0.2849  0.2341 x4
Te  0.0000  0.3950  0.5243 x4